[1]
{
  "formula": "PaBiRu",
  "functional": "GGA-PBE",
  "state": "optimized geometry",
  "delta_e_f_mev_per_atom": -157,
  "energy_ev_per_atom": -7.71,
  "n_ef_per_ev_cell": 3.9,
  "volume_a3_per_atom": 23.633,
  "cell": [[-1.713, 1.713, 6.042], [1.713, -1.713, 6.042], [1.713, 1.713, -6.042]],
  "species": ["Pa", "Bi", "Ru"],
  "frac_coords": [[0.000, 0.000, 0.000], [0.717, 0.717, 0.000], [0.389, 0.389, 0.000]]
}

=====

[2]
{
  "formula": "PaBi2Ru",
  "functional": "GGA-PBE",
  "state": "optimized geometry",
  "polymorph_energy_kcal_per_mol_atoms": 0.00,
  "delta_e_f_mev_per_atom": -239,
  "energy_ev_per_atom": -6.87,
  "n_ef_per_ev_cell": 4.7,
  "volume_a3_per_atom": 24.562,
  "cell": [[-2.281, 2.281, 9.445], [2.281, -2.281, 9.445], [2.281, 2.281, -9.445]],
  "species": ["Pa", "Pa", "Bi", "Bi", "Bi", "Bi", "Ru", "Ru"],
  "frac_coords": [[0.147, 0.147, 0.000], [0.853, 0.853, 0.000], [0.000, 0.500, 0.500], [0.343, 0.343, 0.000], [0.500, 0.000, 0.500], [0.657, 0.657, 0.000], [0.250, 0.750, 0.500], [0.750, 0.250, 0.500]]
}

=====

[3]
{
  "formula": "PaBiRu2",
  "functional": "GGA-PBE",
  "state": "optimized geometry",
  "polymorph_energy_kcal_per_mol_atoms": 2.00,
  "delta_e_f_mev_per_atom": -47,
  "energy_ev_per_atom": -8.03,
  "n_ef_per_ev_cell": 6.3,
  "volume_a3_per_atom": 19.934,
  "cell": [[0.000, 3.416, 3.416], [3.416, 0.000, 3.416], [3.416, 3.416, 0.000]],
  "species": ["Pa", "Bi", "Ru", "Ru"],
  "frac_coords": [[0.000, 0.000, 0.000], [0.500, 0.500, 0.500], [0.250, 0.250, 0.250], [0.750, 0.750, 0.750]]
}

=====

[4]
{
  "formula": "PaBiRu2",
  "functional": "GGA-PBE",
  "state": "optimized geometry",
  "polymorph_energy_kcal_per_mol_atoms": 0.00,
  "delta_e_f_mev_per_atom": -133,
  "energy_ev_per_atom": -8.12,
  "n_ef_per_ev_cell": 3.0,
  "volume_a3_per_atom": 19.634,
  "cell": [[4.535, 0.000, 0.000], [0.000, 4.535, 0.000], [0.000, 0.000, 3.819]],
  "species": ["Pa", "Bi", "Ru", "Ru"],
  "frac_coords": [[0.000, 0.000, 0.000], [0.500, 0.500, 0.000], [0.000, 0.500, 0.500], [0.500, 0.000, 0.500]]
}

=====

[5]
{
  "formula": "PaBi2Ru",
  "functional": "GGA-PBE",
  "state": "optimized geometry",
  "polymorph_energy_kcal_per_mol_atoms": 18.32,
  "delta_e_f_mev_per_atom": 556,
  "energy_ev_per_atom": -6.08,
  "n_ef_per_ev_cell": 5.0,
  "volume_a3_per_atom": 25.193,
  "cell": [[1.639, 0.947, 10.823], [-1.639, 0.947, 10.823], [0.000, -1.893, 10.823]],
  "species": ["Pa", "Bi", "Bi", "Ru"],
  "frac_coords": [[0.000, 0.000, 0.000], [0.419, 0.419, 0.419], [0.581, 0.581, 0.581], [0.500, 0.500, 0.500]]
}

=====

[6]
{
  "formula": "Pa2BiRu",
  "functional": "GGA-PBE",
  "state": "optimized geometry",
  "polymorph_energy_kcal_per_mol_atoms": 0.05,
  "delta_e_f_mev_per_atom": -254,
  "energy_ev_per_atom": -8.29,
  "n_ef_per_ev_cell": 7.6,
  "volume_a3_per_atom": 23.634,
  "cell": [[3.305, 0.000, 0.000], [0.000, 3.305, 0.000], [0.000, 0.000, 8.655]],
  "species": ["Pa", "Pa", "Bi", "Ru"],
  "frac_coords": [[0.000, 0.000, 0.209], [0.000, 0.000, 0.791], [0.500, 0.500, 0.500], [0.500, 0.500, 0.000]]
}

=====

[7]
{
  "formula": "PaBi6S12",
  "functional": "GGA-PBE",
  "state": "optimized geometry",
  "energy_ev_per_atom": -4.79,
  "raw_formation_energy_mev_per_atom": -462,
  "n_ef_per_ev_cell": 15.4,
  "volume_a3_per_atom": 27.140,
  "cell": [[6.250, 3.608, 3.811], [-6.250, 3.608, 3.811], [0.000, -7.216, 3.811]],
  "species": ["Pa", "Bi", "Bi", "Bi", "Bi", "Bi", "Bi", "S", "S", "S", "S", "S", "S", "S", "S", "S", "S", "S", "S"],
  "frac_coords": [[0.000, 0.000, 0.000], [0.145, 0.617, 0.329], [0.329, 0.145, 0.617], [0.383, 0.671, 0.855], [0.617, 0.329, 0.145], [0.671, 0.855, 0.383], [0.855, 0.383, 0.671], [0.045, 0.686, 0.907], [0.093, 0.955, 0.314], [0.178, 0.419, 0.573], [0.314, 0.093, 0.955], [0.419, 0.573, 0.178], [0.427, 0.822, 0.581], [0.573, 0.178, 0.419], [0.581, 0.427, 0.822], [0.686, 0.907, 0.045], [0.822, 0.581, 0.427], [0.907, 0.045, 0.686], [0.955, 0.314, 0.093]]
}

=====

[8]
{
  "formula": "Pa2BiS6",
  "functional": "GGA-PBE",
  "state": "optimized geometry",
  "energy_ev_per_atom": -6.52,
  "raw_formation_energy_mev_per_atom": -1223,
  "n_ef_per_ev_cell": 7.2,
  "volume_a3_per_atom": 31.261,
  "cell": [[8.723, -2.039, 0.000], [8.723, 2.039, 0.000], [-1.702, 0.000, 7.910]],
  "species": ["Pa", "Pa", "Bi", "S", "S", "S", "S", "S", "S"],
  "frac_coords": [[0.166, 0.166, 0.327], [0.834, 0.834, 0.673], [0.500, 0.500, 0.000], [0.012, 0.012, 0.247], [0.324, 0.324, 0.447], [0.334, 0.334, 0.890], [0.666, 0.666, 0.110], [0.676, 0.676, 0.553], [0.988, 0.988, 0.753]]
}

=====

What did the eighth record say?
{
  "formula": "Pa2BiS6",
  "functional": "GGA-PBE",
  "state": "optimized geometry",
  "energy_ev_per_atom": -6.52,
  "raw_formation_energy_mev_per_atom": -1223,
  "n_ef_per_ev_cell": 7.2,
  "volume_a3_per_atom": 31.261,
  "cell": [[8.723, -2.039, 0.000], [8.723, 2.039, 0.000], [-1.702, 0.000, 7.910]],
  "species": ["Pa", "Pa", "Bi", "S", "S", "S", "S", "S", "S"],
  "frac_coords": [[0.166, 0.166, 0.327], [0.834, 0.834, 0.673], [0.500, 0.500, 0.000], [0.012, 0.012, 0.247], [0.324, 0.324, 0.447], [0.334, 0.334, 0.890], [0.666, 0.666, 0.110], [0.676, 0.676, 0.553], [0.988, 0.988, 0.753]]
}